HgICl2 (PBE, optimized geometry); total magnetization = 0.0 μB per cell; excess energy over the best structure of this formula in the dataset = 0.011 eV per atom
1.0
-4.164 4.448 -1.493
-4.207 -1.335 -5.078
-5.952 -3.264 5.656
Cl I Hg
4 2 2
Direct
0.803 0.485 0.998
0.418 0.211 0.195
0.383 0.997 0.773
0.097 0.862 0.152
0.545 0.240 0.651
0.746 0.522 0.493
0.930 0.221 0.271
0.585 0.860 0.073

---

HgICl6 (PBE, optimized geometry); total magnetization = 0.0 μB per cell
1.0
7.340 -1.851 1.037
-0.930 6.545 4.369
0.987 0.522 7.845
Cl Hg I
6 1 1
Direct
0.799 0.699 0.498
0.315 0.137 0.138
0.201 0.498 0.699
0.845 0.997 0.737
0.155 0.737 0.997
0.685 0.138 0.137
0.500 0.867 0.867
0.000 0.094 0.094

---

no.,formation energy from raw total energies (eV/atom)
1,-0.42
2,-0.24